This record from the Alexandria database describes crystalline Ba3Al at its relaxed geometry. The functional is GGA-PBE.

```
Ba3Al
1.0
7.240 0.000 0.001
-3.224 6.482 0.001
-3.224 -5.206 3.862
Ba Al
3 1
direct
0.500 0.000 0.500
0.000 0.500 0.500
0.500 0.500 0.000
0.000 0.000 0.000
```

Properties
SG	No. 166
energy of formation	0.206	eV/atom
energy	-2.171	eV per atom